A) This record from Alexandria describes crystalline Er2U2S7 at its relaxed geometry. The functional is GGA-PBE.

Results
Density of states at the Fermi level, states/eV per cell: 33.5
Volume, Å³ per atom: 24.12
Total magnetization, μB/f.u.: 4.0

Lattice parameters (Å, degrees): 9.0871 9.0871 9.0871 60.00 60.00 60.00
With the nearest neighbours (Å) after each atom.
Sites, in units of the cell vectors:
Er 0.6250 0.1250 0.1250  6 S 2.69
Er 0.1250 0.6250 0.1250  6 S 2.69
Er 0.1250 0.1250 0.6250  6 S 2.69
Er 0.1250 0.1250 0.1250  6 S 2.69
U 0.6250 0.6250 0.6250  8 S 2.78-2.88
U 0.6250 0.6250 0.1250  8 S 2.78-2.88
U 0.6250 0.1250 0.6250  8 S 2.78-2.88
U 0.1250 0.6250 0.6250  8 S 2.78-2.88
S 0.2378 0.2378 0.7622  2 Er 2.69, 2 U 2.88
S 0.2378 0.7622 0.2378  2 Er 2.69, 2 U 2.88
S 0.4878 0.0122 0.4878  2 Er 2.69, 2 U 2.88
S 0.4878 0.4878 0.0122  2 Er 2.69, 2 U 2.88
S 0.7500 0.7500 0.7500  4 U 2.78
S 0.7622 0.2378 0.2378  2 Er 2.69, 2 U 2.88
S 0.4878 0.0122 0.0122  2 Er 2.69, 2 U 2.88
S 0.0122 0.4878 0.4878  2 Er 2.69, 2 U 2.88
S 0.0122 0.0122 0.4878  2 Er 2.69, 2 U 2.88
S 0.0122 0.4878 0.0122  2 Er 2.69, 2 U 2.88
S 0.2378 0.7622 0.7622  2 Er 2.69, 2 U 2.88
S 0.5000 0.5000 0.5000  4 U 2.78
S 0.7622 0.2378 0.7622  2 Er 2.69, 2 U 2.88
S 0.7622 0.7622 0.2378  2 Er 2.69, 2 U 2.88



B) This record from Alexandria describes crystalline Er2U2S7 at its relaxed geometry. The functional is GGA-PBE.

Results
Density of states at the Fermi level, states/eV per cell: 12.9
Volume, Å³ per atom: 20.88
Total magnetization, μB/f.u.: 4.0

Lattice parameters (Å, degrees): 3.8772 8.3765 8.3765 61.25 76.62 76.62
With the nearest neighbours (Å) after each atom.
Sites, in units of the cell vectors:
Er 0.0000 0.7911 0.2089  8 S 2.70-2.93
Er 0.5000 0.3265 0.6735  7 S 2.69-2.84
U 0.7415 0.8452 0.6717  7 S 2.68-2.91
U 0.2585 0.3283 0.1548  7 S 2.68-2.91
S 0.8150 0.0745 0.2954  3 U 2.68-2.78, 1 Er 2.70
S 0.8603 0.4202 0.8592  2 Er 2.77, 3 U 2.91-3.09
S 0.5000 0.0110 0.9890  3 Er 2.69-2.70
S 0.6106 0.4953 0.2836  2 U 2.83, 3 Er 2.84-2.93, 1 S 3.07
S 0.3894 0.7164 0.5047  2 U 2.83, 3 Er 2.84-2.93, 1 S 3.07
S 0.1850 0.7046 0.9255  3 U 2.68-2.78, 1 Er 2.70
S 0.1397 0.1408 0.5798  2 Er 2.77, 3 U 2.91-3.09



Quick one: most stable of them? B)



A) This record from Alexandria describes crystalline YErS2 at its relaxed geometry. The functional is GGA-PBE.

Results
Density of states at the Fermi level, states/eV per cell: 0.8
Volume, Å³ per atom: 21.16
Total magnetization, μB/f.u.: 0.0

Lattice parameters (Å, degrees): 3.8040 3.8040 7.1036 74.47 74.47 60.00
With the nearest neighbours (Å) after each atom.
Sites, in units of the cell vectors:
Y 0.6726 0.6726 0.9822  6 S 2.70-2.85
Er 0.4943 0.4943 0.5171  6 S 2.70-2.84
S 0.0831 0.0831 0.7508  3 Y 2.70, 3 Er 2.70
S 0.2500 0.2500 0.2499  3 Er 2.84, 3 Y 2.85



B) This record from Alexandria describes crystalline YErS2 at its relaxed geometry. The functional is GGA-PBE.

Results
Density of states at the Fermi level, states/eV per cell: 1.6
Volume, Å³ per atom: 20.83
Total magnetization, μB/f.u.: 0.0

Lattice parameters (Å, degrees): 3.8945 3.8945 6.7298 73.18 73.18 60.00
With the nearest neighbours (Å) after each atom.
Sites, in units of the cell vectors:
Y 0.5000 0.5000 0.5000  6 S 2.77
S 0.2518 0.2518 0.2447  3 Er 2.73, 3 Y 2.77
S 0.7482 0.7482 0.7553  3 Er 2.73, 3 Y 2.77
Er 0.0000 0.0000 0.0000  6 S 2.73



Quick one: most stable of them? B)



A) This record from Alexandria describes crystalline ErZrS at its relaxed geometry. The functional is GGA-PBE.

Results
Density of states at the Fermi level, states/eV per cell: 3.2
Volume, Å³ per atom: 22.52
Total magnetization, μB/f.u.: 0.0

Lattice parameters (Å, degrees): 3.6574 3.6574 6.2014 72.85 72.85 60.00
With the nearest neighbours (Å) after each atom.
Sites, in units of the cell vectors:
S 0.3617 0.3617 0.9149  3 Zr 2.55, 3 Er 2.67
Zr 0.1101 0.1101 0.6697  3 S 2.55
Er 0.6017 0.6017 0.1948  3 S 2.67



B) This record from Alexandria describes crystalline ErZrS at its relaxed geometry. The functional is GGA-PBE.

Results
Density of states at the Fermi level, states/eV per cell: 5.0
Volume, Å³ per atom: 22.08
Total magnetization, μB/f.u.: 0.0

Lattice parameters (Å, degrees): 3.8633 3.8633 8.8765 90.00 90.00 90.00
With the nearest neighbours (Å) after each atom.
Sites, in units of the cell vectors:
Er 0.7501 0.2499 0.1787  5 S 2.76-2.78
Er 0.2499 0.7501 0.8213  5 S 2.76-2.78
Zr 0.7500 0.2500 0.5631  1 S 2.69, 4 Zr 2.95
Zr 0.2500 0.7500 0.4369  1 S 2.69, 4 Zr 2.95
S 0.2501 0.7499 0.1344  1 Zr 2.69, 5 Er 2.76-2.78
S 0.7499 0.2501 0.8656  1 Zr 2.69, 5 Er 2.76-2.78



C) This record from Alexandria describes crystalline ErZrS at its relaxed geometry. The functional is GGA-PBE.

Results
Density of states at the Fermi level, states/eV per cell: 2.9
Volume, Å³ per atom: 22.52
Total magnetization, μB/f.u.: 0.0

Lattice parameters (Å, degrees): 3.9774 4.4284 4.4284 120.00 90.00 90.00
With the nearest neighbours (Å) after each atom.
Sites, in units of the cell vectors:
S 0.1660 0.0000 0.0000  3 Zr 2.56
Zr 0.1668 0.3333 0.6667  3 S 2.56
Er 0.6671 0.6667 0.3333  6 S 3.24, 6 Zr 3.24



Quick one: most stable of them? B)



A) This record from Alexandria describes crystalline ErZrS2 at its relaxed geometry. The functional is GGA-PBE.

Results
Density of states at the Fermi level, states/eV per cell: 1.6
Volume, Å³ per atom: 19.15
Total magnetization, μB/f.u.: 0.0

Lattice parameters (Å, degrees): 3.7861 3.7861 6.5468 73.19 73.19 60.00
With the nearest neighbours (Å) after each atom.
Sites, in units of the cell vectors:
S 0.2519 0.2519 0.2443  3 Zr 2.66, 3 Er 2.70
S 0.7481 0.7481 0.7557  3 Zr 2.66, 3 Er 2.70
Zr 0.0000 0.0000 0.0000  6 S 2.66
Er 0.5000 0.5000 0.5000  6 S 2.70



B) This record from Alexandria describes crystalline ErZrS2 at its relaxed geometry. The functional is GGA-PBE.

Results
Density of states at the Fermi level, states/eV per cell: 2.9
Volume, Å³ per atom: 19.38
Total magnetization, μB/f.u.: 0.0

Lattice parameters (Å, degrees): 3.6626 3.6626 7.0009 74.84 74.84 60.00
With the nearest neighbours (Å) after each atom.
Sites, in units of the cell vectors:
Er 0.4955 0.4955 0.5134  6 S 2.68-2.80
Zr 0.6707 0.6707 0.9880  6 S 2.61-2.70
S 0.0802 0.0802 0.7594  3 Zr 2.61, 3 Er 2.68
S 0.2536 0.2536 0.2391  3 Zr 2.70, 3 Er 2.80



Quick one: most stable of them? A)



A) This record from Alexandria describes crystalline ErSb3 at its relaxed geometry. The functional is GGA-PBE.

Results
Density of states at the Fermi level, states/eV per cell: 2.0
Volume, Å³ per atom: 26.85
Total magnetization, μB/f.u.: 0.0

Lattice parameters (Å, degrees): 4.4519 4.4519 6.2663 110.81 110.81 90.00
With the nearest neighbours (Å) after each atom.
Sites, in units of the cell vectors:
Sb 0.7500 0.2500 0.5000  8 Sb 3.15-3.51, 4 Er 3.51
Sb 0.2500 0.7500 0.5000  8 Sb 3.15-3.51, 4 Er 3.51
Sb 0.5000 0.5000 0.0000  4 Er 3.15, 8 Sb 3.51
Er 0.0000 0.0000 0.0000  12 Sb 3.15-3.51



B) This record from Alexandria describes crystalline ErSb3 at its relaxed geometry. The functional is GGA-PBE.

Results
Density of states at the Fermi level, states/eV per cell: 1.5
Volume, Å³ per atom: 27.64
Total magnetization, μB/f.u.: 0.0

Lattice parameters (Å, degrees): 3.9166 5.6897 6.0456 118.07 108.90 90.00
With the nearest neighbours (Å) after each atom.
Sites, in units of the cell vectors:
Sb 0.2788 0.6010 0.5577  1 Sb 2.91, 3 Er 3.18-3.21
Sb 0.5000 0.4857 0.0000  2 Sb 2.91, 2 Er 3.22
Sb 0.7212 0.0433 0.4423  1 Sb 2.91, 3 Er 3.18-3.21
Er 0.0000 0.0367 0.0000  8 Sb 3.18-3.22



Quick one: most stable of them? B)



A) This record from Alexandria describes crystalline ErSb3 at its relaxed geometry. The functional is GGA-PBE.

Results
Density of states at the Fermi level, states/eV per cell: 0.2
Volume, Å³ per atom: 30.25
Total magnetization, μB/f.u.: 0.0

Lattice parameters (Å, degrees): 4.3637 4.4954 6.1683 90.00 90.00 90.00
With the nearest neighbours (Å) after each atom.
Sites, in units of the cell vectors:
Sb 0.5000 0.2726 0.0000  4 Er 3.09-3.17, 2 Sb 3.17
Sb 0.5000 0.4328 0.5000  4 Sb 2.93-3.17
Sb 0.0000 0.8672 0.5000  2 Sb 2.93, 2 Er 3.12
Er 0.0000 0.7608 0.0000  6 Sb 3.09-3.17



B) This record from Alexandria describes crystalline ErSb3 at its relaxed geometry. The functional is GGA-PBE.

Results
Density of states at the Fermi level, states/eV per cell: 4.2
Volume, Å³ per atom: 26.88
Total magnetization, μB/f.u.: 0.0

Lattice parameters (Å, degrees): 6.5862 6.5862 5.7243 90.00 90.00 120.00
With the nearest neighbours (Å) after each atom.
Sites, in units of the cell vectors:
Er 0.3333 0.6667 0.7500  12 Sb 3.29-3.38
Er 0.6667 0.3333 0.2500  12 Sb 3.29-3.38
Sb 0.1753 0.3505 0.2500  8 Sb 3.12-3.49, 4 Er 3.29-3.38
Sb 0.6495 0.8247 0.2500  8 Sb 3.12-3.49, 4 Er 3.29-3.38
Sb 0.1753 0.8247 0.2500  8 Sb 3.12-3.49, 4 Er 3.29-3.38
Sb 0.8247 0.6495 0.7500  8 Sb 3.12-3.49, 4 Er 3.29-3.38
Sb 0.3505 0.1753 0.7500  8 Sb 3.12-3.49, 4 Er 3.29-3.38
Sb 0.8247 0.1753 0.7500  8 Sb 3.12-3.49, 4 Er 3.29-3.38



Quick one: most stable of them? A)